Run i
VASP calculation (PBE) on an optimized crystal structure of MnCoCu.

```
data_MnCoCu
_cell_length_a 2.4878
_cell_length_b 2.4878
_cell_length_c 6.2209
_cell_angle_alpha 90.00
_cell_angle_beta 90.00
_cell_angle_gamma 120.00
_space_group_name_H-M_alt 'P 3 m 1'
_space_group_IT_number 156
_space_group_name_Hall 'P 3 -2"'
loop_
_atom_site_label
_atom_site_fract_x
_atom_site_fract_y
_atom_site_fract_z
Mn1 0.0000 0.0000 0.0000
Co1 0.6667 0.3333 0.3067
Cu1 0.3333 0.6667 0.6513
```

Results
DOS(E_F) in states/eV/cell: 3.6
Density in g/cm³: 8.84
Volume in Å³ per cell: 33.3

Run ii
VASP calculation (PBE) on an optimized crystal structure of MnCoCu.

```
data_MnCoCu
_cell_length_a 2.500
_cell_length_b 2.500
_cell_length_c 10.760
_cell_angle_alpha 90.00
_cell_angle_beta 90.00
_cell_angle_gamma 90.00
_space_group_name_H-M_alt 'I 4 m m'
_space_group_IT_number 107
_space_group_name_Hall 'I 4 -2'
loop_
_atom_site_label
_atom_site_fract_x
_atom_site_fract_y
_atom_site_fract_z
Mn1 0.000 0.000 0.000
Co1 0.000 0.000 0.349
Cu1 0.000 0.000 0.676
```

Results
DOS(E_F) in states/eV/cell: 8.2
Density in g/cm³: 8.76
Volume in Å³ per cell: 67.2

Most stable = run i

Run i
VASP calculation (PBE) on an optimized crystal structure of MnCoCu.

```
data_MnCoCu
_cell_length_a 3.588
_cell_length_b 10.444
_cell_length_c 3.554
_cell_angle_alpha 90.00
_cell_angle_beta 90.00
_cell_angle_gamma 90.00
_space_group_name_H-M_alt 'C m c m'
_space_group_IT_number 63
_space_group_name_Hall '-C 2c 2'
loop_
_atom_site_label
_atom_site_fract_x
_atom_site_fract_y
_atom_site_fract_z
Mn1 0.000 0.068 0.250
Co1 0.000 0.425 0.250
Cu1 0.000 0.252 0.750
```

Results
DOS(E_F) in states/eV/cell: 13.4
Density in g/cm³: 8.85
Volume in Å³ per cell: 133.2

Run ii
VASP calculation (PBE) on an optimized crystal structure of MnCoCu.

```
data_MnCoCu
_cell_length_a 5.588
_cell_length_b 5.588
_cell_length_c 5.588
_cell_angle_alpha 90.00
_cell_angle_beta 90.00
_cell_angle_gamma 90.00
_space_group_name_H-M_alt 'F -4 3 m'
_space_group_IT_number 216
_space_group_name_Hall 'F -4 2 3'
loop_
_atom_site_label
_atom_site_fract_x
_atom_site_fract_y
_atom_site_fract_z
Mn1 0.000 0.000 0.000
Co1 0.000 0.000 0.500
Cu1 0.250 0.250 0.250
```

Results
DOS(E_F) in states/eV/cell: 18.7
Density in g/cm³: 6.76
Volume in Å³ per cell: 174.4

Run iii
VASP calculation (PBE) on an optimized crystal structure of MnCoCu.

```
data_MnCoCu
_cell_length_a 2.909
_cell_length_b 2.925
_cell_length_c 8.418
_cell_angle_alpha 90.00
_cell_angle_beta 90.00
_cell_angle_gamma 90.00
_space_group_name_H-M_alt 'I m m 2'
_space_group_IT_number 44
_space_group_name_Hall 'I 2 -2'
loop_
_atom_site_label
_atom_site_fract_x
_atom_site_fract_y
_atom_site_fract_z
Mn1 0.000 0.000 0.000
Co1 0.000 0.000 0.651
Cu1 0.000 0.000 0.323
```

Results
DOS(E_F) in states/eV/cell: 7.5
Density in g/cm³: 8.23
Volume in Å³ per cell: 71.6

Run iv
VASP calculation (PBE) on an optimized crystal structure of MnCoCu.

```
data_MnCoCu
_cell_length_a 2.953
_cell_length_b 4.035
_cell_length_c 12.033
_cell_angle_alpha 90.00
_cell_angle_beta 90.00
_cell_angle_gamma 90.00
_space_group_name_H-M_alt 'F m m 2'
_space_group_IT_number 42
_space_group_name_Hall 'F 2 -2'
loop_
_atom_site_label
_atom_site_fract_x
_atom_site_fract_y
_atom_site_fract_z
Mn1 0.000 0.000 0.000
Co1 0.000 0.000 0.660
Cu1 0.000 0.000 0.328
```

Results
DOS(E_F) in states/eV/cell: 8.2
Density in g/cm³: 8.22
Volume in Å³ per cell: 143.4

Most stable = run iii

Run i
VASP calculation (PBE) on an optimized crystal structure of MnCoCuSi.

```
data_MnCoCuSi
_cell_length_a 5.714
_cell_length_b 5.714
_cell_length_c 5.714
_cell_angle_alpha 90.00
_cell_angle_beta 90.00
_cell_angle_gamma 90.00
_space_group_name_H-M_alt 'F -4 3 m'
_space_group_IT_number 216
_space_group_name_Hall 'F -4 2 3'
loop_
_atom_site_label
_atom_site_fract_x
_atom_site_fract_y
_atom_site_fract_z
Mn1 0.000 0.000 0.000
Co1 0.250 0.250 0.750
Cu1 0.250 0.250 0.250
Si1 0.000 0.000 0.500
```

Results
DOS(E_F) in states/eV/cell: 15.9
Density in g/cm³: 7.32
Volume in Å³ per cell: 186.5

Run ii
VASP calculation (PBE) on an optimized crystal structure of MnCoCuSi.

```
data_MnCoCuSi
_cell_length_a 5.665
_cell_length_b 5.665
_cell_length_c 5.665
_cell_angle_alpha 90.00
_cell_angle_beta 90.00
_cell_angle_gamma 90.00
_space_group_name_H-M_alt 'F -4 3 m'
_space_group_IT_number 216
_space_group_name_Hall 'F -4 2 3'
loop_
_atom_site_label
_atom_site_fract_x
_atom_site_fract_y
_atom_site_fract_z
Mn1 0.000 0.000 0.000
Co1 0.000 0.000 0.500
Cu1 0.250 0.250 0.750
Si1 0.250 0.250 0.250
```

Results
DOS(E_F) in states/eV/cell: 11.3
Density in g/cm³: 7.51
Volume in Å³ per cell: 181.8

Most stable = run ii